(1)
Compound: NaAcGa
Source: Alexandria
Functional: GGA-PBE
Structure: optimized geometry

## Properties
- offset from the most stable computed form (eV/atom) = 0.1182
- total DFT energy (no corrections) (eV per atom) = -3.00
- SG = P-1
- ΔE_f (eV/atom) = -0.18

Geometry as CIF:
```
data_NaAcGa
_symmetry_space_group_name_H-M 'P 1'
_symmetry_Int_Tables_number 1
_cell_length_a 3.971
_cell_length_b 6.399
_cell_length_c 8.353
_cell_angle_alpha 81.59
_cell_angle_beta 76.26
_cell_angle_gamma 72.17
loop_
_symmetry_equiv_pos_as_xyz
'x,y,z'
loop_
_atom_site_label
_atom_site_type_symbol
_atom_site_fract_x
_atom_site_fract_y
_atom_site_fract_z
Ac1 Ac 0.642 0.347 0.243
Na1 Na 0.879 0.461 0.658
Ga1 Ga 0.940 0.807 0.193
Na2 Na 0.257 0.881 0.484
Ga2 Ga 0.196 0.534 0.949
Ac2 Ac 0.494 0.994 0.899
```


(2)
Compound: CdP2Ru
Source: Alexandria
Functional: GGA-PBE
Structure: optimized geometry

## Properties
- total DFT energy (no corrections) (eV per atom) = -5.11
- SG = Pm
- ΔE_f (eV/atom) = 0.14

Geometry as CIF:
```
data_CdP2Ru
_symmetry_space_group_name_H-M 'P 1'
_symmetry_Int_Tables_number 1
_cell_length_a 4.302
_cell_length_b 3.607
_cell_length_c 4.697
_cell_angle_alpha 67.50
_cell_angle_beta 90.00
_cell_angle_gamma 90.00
loop_
_symmetry_equiv_pos_as_xyz
'x,y,z'
loop_
_atom_site_label
_atom_site_type_symbol
_atom_site_fract_x
_atom_site_fract_y
_atom_site_fract_z
P1 P 0.000 0.013 0.098
Cd1 Cd 0.500 0.723 0.681
P2 P 0.500 0.442 0.241
Ru1 Ru 0.000 0.322 0.481
```


(3)
Compound: K2Mg2Cd15
Source: Alexandria
Functional: GGA-PBE
Structure: optimized geometry

## Properties
- total DFT energy (no corrections) (eV per atom) = -1.07
- SG = R-3m
- ΔE_f (eV/atom) = -0.07

Geometry as CIF:
```
data_K2Mg2Cd15
_symmetry_space_group_name_H-M 'P 1'
_symmetry_Int_Tables_number 1
_cell_length_a 7.878
_cell_length_b 7.878
_cell_length_c 7.878
_cell_angle_alpha 82.23
_cell_angle_beta 82.23
_cell_angle_gamma 82.23
loop_
_symmetry_equiv_pos_as_xyz
'x,y,z'
loop_
_atom_site_label
_atom_site_type_symbol
_atom_site_fract_x
_atom_site_fract_y
_atom_site_fract_z
Mg1 Mg 0.100 0.100 0.100
Cd1 Cd 0.000 0.500 0.000
Cd2 Cd 0.708 0.000 0.292
Cd3 Cd 0.646 0.150 0.646
Cd4 Cd 0.000 0.000 0.500
Cd5 Cd 0.646 0.646 0.150
Cd6 Cd 0.354 0.354 0.850
Cd7 Cd 0.292 0.708 0.000
Cd8 Cd 0.708 0.292 0.000
Cd9 Cd 0.150 0.646 0.646
Cd10 Cd 0.292 0.000 0.708
Cd11 Cd 0.850 0.354 0.354
K1 K 0.343 0.343 0.343
Cd12 Cd 0.000 0.292 0.708
Cd13 Cd 0.500 0.000 0.000
K2 K 0.657 0.657 0.657
Cd14 Cd 0.354 0.850 0.354
Cd15 Cd 0.000 0.708 0.292
Mg2 Mg 0.900 0.900 0.900
```


(4)
Compound: Pr3Ga4Ag4
Source: Alexandria
Functional: GGA-PBE
Structure: optimized geometry

## Properties
- total DFT energy (no corrections) (eV per atom) = -3.86
- SG = Immm
- ΔE_f (eV/atom) = -0.42

Geometry as CIF:
```
data_Pr3Ga4Ag4
_symmetry_space_group_name_H-M 'P 1'
_symmetry_Int_Tables_number 1
_cell_length_a 4.622
_cell_length_b 3.812
_cell_length_c 14.301
_cell_angle_alpha 97.66
_cell_angle_beta 99.30
_cell_angle_gamma 90.00
loop_
_symmetry_equiv_pos_as_xyz
'x,y,z'
loop_
_atom_site_label
_atom_site_type_symbol
_atom_site_fract_x
_atom_site_fract_y
_atom_site_fract_z
Ag1 Ag 0.094 0.594 0.188
Ga1 Ga 0.547 0.547 0.095
Ga2 Ga 0.189 0.689 0.377
Pr1 Pr 0.355 0.855 0.710
Ag2 Ag 0.257 0.257 0.514
Ag3 Ag 0.906 0.406 0.812
Ga3 Ga 0.453 0.453 0.905
Pr2 Pr 0.000 0.000 0.000
Ag4 Ag 0.743 0.743 0.486
Ga4 Ga 0.811 0.311 0.623
Pr3 Pr 0.645 0.145 0.290
```